Record 1
Tm7Tl4Pd | PBE | optimized geometry

The formation energy comes out at -12.3 kJ per mole of atoms. Its calculated volume is 29.0 Å³ per atom. The value obtained for the calculated total energy is -3.958 eV per atom. As for the space group: C2/m (12).

a b c (Å): 7.986 7.986 11.113
angles (deg): 126.11 126.11 39.05
Positions (direct):
Tm 0.000 0.000 0.000
Tm 0.151 0.151 0.579
Tm 0.280 0.280 0.133
Tm 0.433 0.433 0.706
Tm 0.567 0.567 0.294
Tm 0.720 0.720 0.867
Tm 0.849 0.849 0.421
Tl 0.075 0.075 0.779
Tl 0.216 0.216 0.348
Tl 0.784 0.784 0.652
Tl 0.925 0.925 0.221
Pd 0.500 0.500 0.000

=====

Record 2
SmHo2Sc4 | PBE | optimized geometry

The formation energy comes out at 16.4 kJ per mole of atoms. Its calculated volume is 28.5 Å³ per atom. The value obtained for the calculated total energy is -5.430 eV per atom. As for the space group: Cmmm (65). For the relative energy among the computed polymorphs, the calculation gives 112 meV/atom.

a b c (Å): 10.689 10.689 5.260
angles (deg): 90.00 90.00 160.62
Positions (direct):
Sm 0.000 0.000 0.000
Ho 0.426 0.574 0.500
Ho 0.574 0.426 0.500
Sc 0.197 0.803 0.500
Sc 0.319 0.681 0.000
Sc 0.681 0.319 0.000
Sc 0.803 0.197 0.500

=====

Record 3
Pd4PtRh | PBE | optimized geometry

The formation energy comes out at 6.0 kJ per mole of atoms. Its calculated volume is 15.3 Å³ per atom. The value obtained for the calculated total energy is -5.632 eV per atom. As for the space group: C2/m (12). For the relative energy among the computed polymorphs, the calculation gives 0 meV/atom.

a b c (Å): 6.647 6.647 4.817
angles (deg): 111.20 111.20 77.65
Positions (direct):
Pd 0.041 0.712 0.709
Pd 0.207 0.540 0.207
Pd 0.288 0.959 0.291
Pd 0.460 0.793 0.793
Pd 0.540 0.207 0.207
Pd 0.712 0.041 0.709
Pd 0.793 0.460 0.793
Pd 0.959 0.288 0.291
Pt 0.373 0.373 0.712
Pt 0.627 0.627 0.288
Rh 0.123 0.123 0.785
Rh 0.877 0.877 0.215

=====

Record 4
Pm4Nd9Hg11 | PBE | optimized geometry

The formation energy comes out at -37.1 kJ per mole of atoms. Its calculated volume is 28.4 Å³ per atom. The value obtained for the calculated total energy is -3.103 eV per atom. As for the space group: Cmmm (65).

a b c (Å): 14.117 14.117 3.664
angles (deg): 90.00 90.00 110.85
Positions (direct):
Pm 0.068 0.246 0.000
Pm 0.246 0.068 0.000
Pm 0.754 0.932 0.000
Pm 0.932 0.754 0.000
Nd 0.000 0.000 0.000
Nd 0.121 0.648 0.000
Nd 0.294 0.472 0.000
Nd 0.352 0.879 0.000
Nd 0.472 0.294 0.000
Nd 0.528 0.706 0.000
Nd 0.648 0.121 0.000
Nd 0.706 0.528 0.000
Nd 0.879 0.352 0.000
Hg 0.088 0.445 0.500
Hg 0.133 0.867 0.500
Hg 0.265 0.265 0.500
Hg 0.325 0.675 0.500
Hg 0.445 0.088 0.500
Hg 0.500 0.500 0.500
Hg 0.555 0.912 0.500
Hg 0.675 0.325 0.500
Hg 0.735 0.735 0.500
Hg 0.867 0.133 0.500
Hg 0.912 0.555 0.500

=====

> Which value of calculated volume does entry 3 give?

15.3 Å³ per atom

=====

> calculated total energy of number 2 (SmHo2Sc4)?

-5.430 eV per atom

=====

> Which of these has the lowest calculated volume?

Pd4PtRh

=====

> Number 3 is which compound?

Pd4PtRh